Record 1
Density functional theory data (PBE) for a geometry-optimized Ba8CuRhAu2 structure. Values from VASP.

Output
For the mass density, the calculation gives 4.84 g/cm3. As for the energy of formation: -367 kJ/mol of formula units. The total magnetization comes out at 0.0 μB/f.u.

The structure in Quantum ESPRESSO input format:
```
&SYSTEM
  ibrav = 0, nat = 12, ntyp = 4
/
ATOMIC_SPECIES
Ba 137.33 Ba.upf
Cu 63.55 Cu.upf
Rh 102.91 Rh.upf
Au 196.97 Au.upf
CELL_PARAMETERS angstrom
7.814 -0.019 -0.005
0.016 7.612 -0.009
0.006 0.011 9.569
ATOMIC_POSITIONS crystal
Ba 0.171 0.781 0.238
Ba 0.689 0.741 0.000
Ba 0.829 0.219 0.238
Ba 0.829 0.219 0.762
Ba 0.311 0.259 0.000
Ba 0.171 0.781 0.762
Ba 0.676 0.728 0.500
Ba 0.324 0.272 0.500
Cu 0.000 0.000 0.500
Rh 0.000 0.000 0.000
Au 0.500 0.500 0.753
Au 0.500 0.500 0.247
```


Record 2
Density functional theory data (PBE) for a geometry-optimized Mg2CuSb structure. Values from VASP.

Output
For the mass density, the calculation gives 4.89 g/cm3. The total magnetization comes out at 0.0 μB/f.u.

The structure in Quantum ESPRESSO input format:
```
&SYSTEM
  ibrav = 0, nat = 4, ntyp = 3
/
ATOMIC_SPECIES
Cu 63.55 Cu.upf
Mg 24.30 Mg.upf
Sb 121.76 Sb.upf
CELL_PARAMETERS angstrom
3.947 0.000 0.000
0.000 3.261 0.007
0.000 3.271 6.181
ATOMIC_POSITIONS crystal
Cu 0.500 0.750 0.750
Mg 0.000 0.023 0.977
Mg 0.000 0.477 0.523
Sb 0.500 0.250 0.250
```


Record 3
Density functional theory data (PBE) for a geometry-optimized BeSiOF2 structure. Values from VASP.

Output
For the mass density, the calculation gives 2.64 g/cm3. For the polymorph energy (0 for the lowest one), the calculation gives 0.671 eV/atom. The total magnetization comes out at 0.5 μB/f.u.

The structure in Quantum ESPRESSO input format:
```
&SYSTEM
  ibrav = 0, nat = 5, ntyp = 4
/
ATOMIC_SPECIES
Be 9.01 Be.upf
Si 28.09 Si.upf
O 16.00 O.upf
F 19.00 F.upf
CELL_PARAMETERS angstrom
-3.938 0.426 1.179
-1.227 -2.105 -3.338
0.208 -2.870 1.734
ATOMIC_POSITIONS crystal
Be 0.500 0.500 0.500
Si 0.000 0.000 0.000
O 0.000 0.000 0.500
F 0.000 0.500 0.000
F 0.500 0.000 0.000
```


Record 4
Density functional theory data (PBE) for a geometry-optimized NaHfN3 structure. Values from VASP.

Output
For the mass density, the calculation gives 5.37 g/cm3. The total magnetization comes out at 2.9 μB/f.u.

The structure in Quantum ESPRESSO input format:
```
&SYSTEM
  ibrav = 0, nat = 5, ntyp = 3
/
ATOMIC_SPECIES
Na 22.99 Na.upf
Hf 178.49 Hf.upf
N 14.01 N.upf
CELL_PARAMETERS angstrom
-0.836 1.150 3.976
-2.625 -3.283 0.398
3.200 -2.393 1.365
ATOMIC_POSITIONS crystal
Na 0.500 0.500 0.500
Hf 0.000 0.000 0.000
N 0.000 0.500 0.000
N 0.000 0.000 0.500
N 0.500 0.000 0.000
```


Record 5
Density functional theory data (PBE) for a geometry-optimized Li5SiAu8 structure. Values from VASP.

Output
For the mass density, the calculation gives 11.68 g/cm3. The total magnetization comes out at 0.0 μB/f.u.

The structure in Quantum ESPRESSO input format:
```
&SYSTEM
  ibrav = 0, nat = 14, ntyp = 3
/
ATOMIC_SPECIES
Li 6.94 Li.upf
Si 28.09 Si.upf
Au 196.97 Au.upf
CELL_PARAMETERS angstrom
-3.740 3.367 4.451
-2.397 -6.201 -0.970
6.224 -0.183 2.521
ATOMIC_POSITIONS crystal
Li 0.042 0.343 0.146
Li 0.854 0.897 0.197
Li 0.803 0.657 0.700
Li 0.500 0.000 0.500
Li 0.300 0.103 0.958
Si 0.250 0.500 0.750
Au 0.177 0.740 0.069
Au 0.931 0.108 0.671
Au 0.722 0.250 0.323
Au 0.677 0.399 0.927
Au 0.528 0.601 0.278
Au 0.563 0.892 0.823
Au 0.329 0.260 0.437
Au 0.073 0.750 0.472
```


Record 6
Density functional theory data (PBE) for a geometry-optimized TiIn3C structure. Values from VASP.

Output
For the mass density, the calculation gives 4.20 g/cm3. As for the energy of formation: 840 kJ/mol of formula units. For the polymorph energy (0 for the lowest one), the calculation gives 0.740 eV/atom. The total magnetization comes out at 1.0 μB/f.u.

The structure in Quantum ESPRESSO input format:
```
&SYSTEM
  ibrav = 0, nat = 5, ntyp = 3
/
ATOMIC_SPECIES
C 12.01 C.upf
Ti 47.87 Ti.upf
In 114.82 In.upf
CELL_PARAMETERS angstrom
-4.935 -0.257 2.243
-0.641 -5.011 -1.983
2.165 -2.068 4.527
ATOMIC_POSITIONS crystal
C 0.500 0.500 0.500
Ti 0.000 0.000 0.000
In 0.000 0.500 0.000
In 0.000 0.000 0.500
In 0.500 0.000 0.000
```


| no. | DFT total energy (eV/atom) |
| --- | --- |
| 1 | -3.099 |
| 2 | -2.928 |
| 3 | -4.611 |
| 4 | -6.928 |
| 5 | -3.261 |
| 6 | -3.326 |